A geometry-optimized SiN2F structure. Source: Alexandria via LeMat-Bulk, functional PBE.

CIF file:
```
data_SiN2F
_space_group_name_H-M_alt 'R -3 m'
_space_group_IT_number 166
_space_group_name_Hall '-R 3 2"'
_cell_length_a 2.9029
_cell_length_b 2.9029
_cell_length_c 15.8012
_cell_angle_alpha 90.00
_cell_angle_beta 90.00
_cell_angle_gamma 120.00
loop_
_atom_site_label
_atom_site_type_symbol
_atom_site_fract_x
_atom_site_fract_y
_atom_site_fract_z
_atom_site_occupancy
Si1 Si 0.0000 0.0000 0.0000 1
N1 N 0.0000 0.0000 0.3886 1
F1 F 0.0000 0.0000 0.5000 1
```

DOS(E_F): 5.37 states/eV/cell
energy above the most stable polymorph in this dataset: 0.000 eV/atom
magnetic moment: 0.00 μB/f.u.
uncorrected formation energy: 0.104 eV/atom



A geometry-optimized SiN2F structure. Source: Alexandria via LeMat-Bulk, functional PBE.

CIF file:
```
data_SiN2F
_space_group_name_H-M_alt 'F m -3 m'
_space_group_IT_number 225
_space_group_name_Hall '-F 4 2 3'
_cell_length_a 5.0731
_cell_length_b 5.0731
_cell_length_c 5.0731
_cell_angle_alpha 90.00
_cell_angle_beta 90.00
_cell_angle_gamma 90.00
loop_
_atom_site_label
_atom_site_type_symbol
_atom_site_fract_x
_atom_site_fract_y
_atom_site_fract_z
_atom_site_occupancy
Si1 Si 0.0000 0.0000 0.0000 1
N1 N 0.2500 0.2500 0.2500 1
F1 F 0.0000 0.0000 0.5000 1
```

DOS(E_F): 11.71 states/eV/cell
energy above the most stable polymorph in this dataset: 1.214 eV/atom
magnetic moment: 0.00 μB/f.u.
uncorrected formation energy: 1.318 eV/atom



A geometry-optimized SiN2F6 structure. Source: Alexandria via LeMat-Bulk, functional PBE.

CIF file:
```
data_SiN2F6
_space_group_name_H-M_alt 'C 1 2/m 1'
_space_group_IT_number 12
_space_group_name_Hall '-C 2y'
_cell_length_a 9.8998
_cell_length_b 5.2877
_cell_length_c 5.2863
_cell_angle_alpha 90.00
_cell_angle_beta 91.59
_cell_angle_gamma 90.00
loop_
_atom_site_label
_atom_site_type_symbol
_atom_site_fract_x
_atom_site_fract_y
_atom_site_fract_z
_atom_site_occupancy
Si1 Si 0.0000 0.0000 0.0000 1
N1 N 0.2267 0.0000 0.3164 1
F1 F 0.1033 0.0000 0.7608 1
F2 F 0.1041 0.2229 0.1582 1
```

DOS(E_F): 4.51 states/eV/cell
energy above the most stable polymorph in this dataset: 0.000 eV/atom
magnetic moment: 4.00 μB/f.u.
uncorrected formation energy: -0.667 eV/atom



A geometry-optimized SiN2F structure. Source: Alexandria via LeMat-Bulk, functional PBE.

CIF file:
```
data_SiN2F
_space_group_name_H-M_alt 'I -4 2 d'
_space_group_IT_number 122
_space_group_name_Hall 'I -4 2bw'
_cell_length_a 4.3354
_cell_length_b 4.3354
_cell_length_c 10.3156
_cell_angle_alpha 90.00
_cell_angle_beta 90.00
_cell_angle_gamma 90.00
loop_
_atom_site_label
_atom_site_type_symbol
_atom_site_fract_x
_atom_site_fract_y
_atom_site_fract_z
_atom_site_occupancy
Si1 Si 0.0000 0.0000 0.0000 1
N1 N 0.0374 0.2500 0.1250 1
F1 F 0.0000 0.0000 0.5000 1
```

DOS(E_F): 8.29 states/eV/cell
energy above the most stable polymorph in this dataset: 0.197 eV/atom
magnetic moment: 1.18 μB/f.u.
uncorrected formation energy: 0.301 eV/atom



A geometry-optimized SiN2F6 structure. Source: Alexandria via LeMat-Bulk, functional PBE.

CIF file:
```
data_SiN2F6
_space_group_name_H-M_alt 'P -3 m 1'
_space_group_IT_number 164
_space_group_name_Hall '-P 3 2"'
_cell_length_a 5.0369
_cell_length_b 5.0369
_cell_length_c 5.0002
_cell_angle_alpha 90.00
_cell_angle_beta 90.00
_cell_angle_gamma 120.00
loop_
_atom_site_label
_atom_site_type_symbol
_atom_site_fract_x
_atom_site_fract_y
_atom_site_fract_z
_atom_site_occupancy
Si1 Si 0.0000 0.0000 0.0000 1
N1 N 0.3333 0.6667 0.7444 1
F1 F 0.1582 0.3165 0.2017 1
```

DOS(E_F): 4.38 states/eV/cell
energy above the most stable polymorph in this dataset: 0.133 eV/atom
magnetic moment: 3.99 μB/f.u.
uncorrected formation energy: -0.534 eV/atom



A geometry-optimized SrSiNF2 structure. Source: Alexandria via LeMat-Bulk, functional PBE.

CIF file:
```
data_SrSiNF2
_space_group_name_H-M_alt 'P 4/m m m'
_space_group_IT_number 123
_space_group_name_Hall '-P 4 2'
_cell_length_a 4.3713
_cell_length_b 4.3713
_cell_length_c 3.5719
_cell_angle_alpha 90.00
_cell_angle_beta 90.00
_cell_angle_gamma 90.00
loop_
_atom_site_label
_atom_site_type_symbol
_atom_site_fract_x
_atom_site_fract_y
_atom_site_fract_z
_atom_site_occupancy
Sr1 Sr 0.0000 0.0000 0.0000 1
Si1 Si 0.5000 0.5000 0.5000 1
N1 N 0.5000 0.5000 0.0000 1
F1 F 0.0000 0.5000 0.5000 1
```

DOS(E_F): 0.98 states/eV/cell
energy above the most stable polymorph in this dataset: 0.000 eV/atom
magnetic moment: 0.00 μB/f.u.
uncorrected formation energy: -1.724 eV/atom



A geometry-optimized SrSiN2F structure. Source: Alexandria via LeMat-Bulk, functional PBE.

CIF file:
```
data_SrSiN2F
_space_group_name_H-M_alt 'P 4/m m m'
_space_group_IT_number 123
_space_group_name_Hall '-P 4 2'
_cell_length_a 3.6047
_cell_length_b 3.6047
_cell_length_c 4.3812
_cell_angle_alpha 90.00
_cell_angle_beta 90.00
_cell_angle_gamma 90.00
loop_
_atom_site_label
_atom_site_type_symbol
_atom_site_fract_x
_atom_site_fract_y
_atom_site_fract_z
_atom_site_occupancy
Sr1 Sr 0.0000 0.0000 0.0000 1
Si1 Si 0.5000 0.5000 0.5000 1
N1 N 0.0000 0.5000 0.5000 1
F1 F 0.5000 0.5000 0.0000 1
```

DOS(E_F): 0.73 states/eV/cell
energy above the most stable polymorph in this dataset: 0.000 eV/atom
magnetic moment: 0.48 μB/f.u.
uncorrected formation energy: -1.257 eV/atom



A geometry-optimized SrSiNF2 structure. Source: Alexandria via LeMat-Bulk, functional PBE.

CIF file:
```
data_SrSiNF2
_space_group_name_H-M_alt 'P 4/m m m'
_space_group_IT_number 123
_space_group_name_Hall '-P 4 2'
_cell_length_a 4.5051
_cell_length_b 4.5051
_cell_length_c 5.1754
_cell_angle_alpha 90.00
_cell_angle_beta 90.00
_cell_angle_gamma 90.00
loop_
_atom_site_label
_atom_site_type_symbol
_atom_site_fract_x
_atom_site_fract_y
_atom_site_fract_z
_atom_site_occupancy
Sr1 Sr 0.0000 0.0000 0.0000 1
Si1 Si 0.5000 0.5000 0.5000 1
N1 N 0.0000 0.0000 0.5000 1
F1 F 0.0000 0.5000 0.0000 1
```

DOS(E_F): 1.50 states/eV/cell
energy above the most stable polymorph in this dataset: 1.099 eV/atom
magnetic moment: 1.00 μB/f.u.
uncorrected formation energy: -0.625 eV/atom



A geometry-optimized Sr5SiN4F2 structure. Source: Alexandria via LeMat-Bulk, functional PBE.

CIF file:
```
data_Sr5SiN4F2
_space_group_name_H-M_alt 'A m m 2'
_space_group_IT_number 38
_space_group_name_Hall 'A 2 -2'
_cell_length_a 7.3811
_cell_length_b 9.6521
_cell_length_c 6.0355
_cell_angle_alpha 90.00
_cell_angle_beta 90.00
_cell_angle_gamma 90.00
loop_
_atom_site_label
_atom_site_type_symbol
_atom_site_fract_x
_atom_site_fract_y
_atom_site_fract_z
_atom_site_occupancy
Sr1 Sr 0.0000 0.0000 0.0000 1
Sr2 Sr 0.2845 0.1846 0.4859 1
Si1 Si 0.5000 0.0000 0.0018 1
N1 N 0.2987 0.0000 0.1810 1
N2 N 0.5000 0.1486 0.8207 1
F1 F 0.0000 0.2068 0.7519 1
```

magnetic moment: 0.00 μB/f.u.
uncorrected formation energy: -1.481 eV/atom



A geometry-optimized SrSiN2F structure. Source: Alexandria via LeMat-Bulk, functional PBE.

CIF file:
```
data_SrSiN2F
_space_group_name_H-M_alt 'P 4/m m m'
_space_group_IT_number 123
_space_group_name_Hall '-P 4 2'
_cell_length_a 4.9339
_cell_length_b 4.9339
_cell_length_c 4.4575
_cell_angle_alpha 90.00
_cell_angle_beta 90.00
_cell_angle_gamma 90.00
loop_
_atom_site_label
_atom_site_type_symbol
_atom_site_fract_x
_atom_site_fract_y
_atom_site_fract_z
_atom_site_occupancy
Sr1 Sr 0.0000 0.0000 0.0000 1
Si1 Si 0.5000 0.5000 0.5000 1
N1 N 0.0000 0.5000 0.0000 1
F1 F 0.0000 0.0000 0.5000 1
```

DOS(E_F): 3.95 states/eV/cell
energy above the most stable polymorph in this dataset: 2.164 eV/atom
magnetic moment: 3.00 μB/f.u.
uncorrected formation energy: 0.907 eV/atom



A geometry-optimized TaSiNF2 structure. Source: Alexandria via LeMat-Bulk, functional PBE.

CIF file:
```
data_TaSiNF2
_space_group_name_H-M_alt 'P 4/m m m'
_space_group_IT_number 123
_space_group_name_Hall '-P 4 2'
_cell_length_a 4.4728
_cell_length_b 4.4728
_cell_length_c 3.1887
_cell_angle_alpha 90.00
_cell_angle_beta 90.00
_cell_angle_gamma 90.00
loop_
_atom_site_label
_atom_site_type_symbol
_atom_site_fract_x
_atom_site_fract_y
_atom_site_fract_z
_atom_site_occupancy
Ta1 Ta 0.0000 0.0000 0.0000 1
Si1 Si 0.5000 0.5000 0.5000 1
N1 N 0.5000 0.5000 0.0000 1
F1 F 0.0000 0.5000 0.5000 1
```

DOS(E_F): 3.50 states/eV/cell
energy above the most stable polymorph in this dataset: 0.669 eV/atom
magnetic moment: 2.14 μB/f.u.
uncorrected formation energy: -0.121 eV/atom



A geometry-optimized TaSiNF2 structure. Source: Alexandria via LeMat-Bulk, functional PBE.

CIF file:
```
data_TaSiNF2
_space_group_name_H-M_alt 'P 4/m m m'
_space_group_IT_number 123
_space_group_name_Hall '-P 4 2'
_cell_length_a 4.1656
_cell_length_b 4.1656
_cell_length_c 4.0498
_cell_angle_alpha 90.00
_cell_angle_beta 90.00
_cell_angle_gamma 90.00
loop_
_atom_site_label
_atom_site_type_symbol
_atom_site_fract_x
_atom_site_fract_y
_atom_site_fract_z
_atom_site_occupancy
Ta1 Ta 0.0000 0.0000 0.0000 1
Si1 Si 0.5000 0.5000 0.5000 1
N1 N 0.0000 0.0000 0.5000 1
F1 F 0.0000 0.5000 0.0000 1
```

DOS(E_F): 3.55 states/eV/cell
energy above the most stable polymorph in this dataset: 0.000 eV/atom
magnetic moment: 0.00 μB/f.u.
uncorrected formation energy: -0.790 eV/atom



A geometry-optimized SiTcNF2 structure. Source: Alexandria via LeMat-Bulk, functional PBE.

CIF file:
```
data_SiTcNF2
_space_group_name_H-M_alt 'P 4/m m m'
_space_group_IT_number 123
_space_group_name_Hall '-P 4 2'
_cell_length_a 4.2203
_cell_length_b 4.2203
_cell_length_c 3.8125
_cell_angle_alpha 90.00
_cell_angle_beta 90.00
_cell_angle_gamma 90.00
loop_
_atom_site_label
_atom_site_type_symbol
_atom_site_fract_x
_atom_site_fract_y
_atom_site_fract_z
_atom_site_occupancy
Si1 Si 0.0000 0.0000 0.0000 1
Tc1 Tc 0.5000 0.5000 0.5000 1
N1 N 0.5000 0.5000 0.0000 1
F1 F 0.0000 0.5000 0.5000 1
```

DOS(E_F): 3.96 states/eV/cell
energy above the most stable polymorph in this dataset: 0.136 eV/atom
magnetic moment: 0.16 μB/f.u.
uncorrected formation energy: -0.205 eV/atom



A geometry-optimized SiTcNF2 structure. Source: Alexandria via LeMat-Bulk, functional PBE.

CIF file:
```
data_SiTcNF2
_space_group_name_H-M_alt 'P 4/m m m'
_space_group_IT_number 123
_space_group_name_Hall '-P 4 2'
_cell_length_a 4.2917
_cell_length_b 4.2917
_cell_length_c 3.2721
_cell_angle_alpha 90.00
_cell_angle_beta 90.00
_cell_angle_gamma 90.00
loop_
_atom_site_label
_atom_site_type_symbol
_atom_site_fract_x
_atom_site_fract_y
_atom_site_fract_z
_atom_site_occupancy
Si1 Si 0.0000 0.0000 0.0000 1
Tc1 Tc 0.5000 0.5000 0.5000 1
N1 N 0.0000 0.0000 0.5000 1
F1 F 0.0000 0.5000 0.0000 1
```

DOS(E_F): 1.45 states/eV/cell
energy above the most stable polymorph in this dataset: 0.000 eV/atom
magnetic moment: 4.21 μB/f.u.
uncorrected formation energy: -0.341 eV/atom



A geometry-optimized TiSiNF2 structure. Source: Alexandria via LeMat-Bulk, functional PBE.

CIF file:
```
data_TiSiNF2
_space_group_name_H-M_alt 'P 4/m m m'
_space_group_IT_number 123
_space_group_name_Hall '-P 4 2'
_cell_length_a 4.2679
_cell_length_b 4.2679
_cell_length_c 3.2854
_cell_angle_alpha 90.00
_cell_angle_beta 90.00
_cell_angle_gamma 90.00
loop_
_atom_site_label
_atom_site_type_symbol
_atom_site_fract_x
_atom_site_fract_y
_atom_site_fract_z
_atom_site_occupancy
Ti1 Ti 0.0000 0.0000 0.0000 1
Si1 Si 0.5000 0.5000 0.5000 1
N1 N 0.5000 0.5000 0.0000 1
F1 F 0.0000 0.5000 0.5000 1
```

DOS(E_F): 4.15 states/eV/cell
energy above the most stable polymorph in this dataset: 0.298 eV/atom
magnetic moment: 2.60 μB/f.u.
uncorrected formation energy: -0.864 eV/atom



A geometry-optimized TiSiN2F structure. Source: Alexandria via LeMat-Bulk, functional PBE.

CIF file:
```
data_TiSiN2F
_space_group_name_H-M_alt 'P 4/m m m'
_space_group_IT_number 123
_space_group_name_Hall '-P 4 2'
_cell_length_a 3.9786
_cell_length_b 3.9786
_cell_length_c 3.8590
_cell_angle_alpha 90.00
_cell_angle_beta 90.00
_cell_angle_gamma 90.00
loop_
_atom_site_label
_atom_site_type_symbol
_atom_site_fract_x
_atom_site_fract_y
_atom_site_fract_z
_atom_site_occupancy
Ti1 Ti 0.0000 0.0000 0.0000 1
Si1 Si 0.5000 0.5000 0.5000 1
N1 N 0.0000 0.5000 0.0000 1
F1 F 0.0000 0.0000 0.5000 1
```

DOS(E_F): 3.35 states/eV/cell
energy above the most stable polymorph in this dataset: 0.430 eV/atom
magnetic moment: 0.01 μB/f.u.
uncorrected formation energy: -0.352 eV/atom



A geometry-optimized TiSiN2F structure. Source: Alexandria via LeMat-Bulk, functional PBE.

CIF file:
```
data_TiSiN2F
_space_group_name_H-M_alt 'P 4/m m m'
_space_group_IT_number 123
_space_group_name_Hall '-P 4 2'
_cell_length_a 3.6635
_cell_length_b 3.6635
_cell_length_c 3.4525
_cell_angle_alpha 90.00
_cell_angle_beta 90.00
_cell_angle_gamma 90.00
loop_
_atom_site_label
_atom_site_type_symbol
_atom_site_fract_x
_atom_site_fract_y
_atom_site_fract_z
_atom_site_occupancy
Ti1 Ti 0.0000 0.0000 0.0000 1
Si1 Si 0.5000 0.5000 0.5000 1
N1 N 0.0000 0.5000 0.5000 1
F1 F 0.5000 0.5000 0.0000 1
```

DOS(E_F): 2.18 states/eV/cell
energy above the most stable polymorph in this dataset: 0.000 eV/atom
magnetic moment: 0.98 μB/f.u.
uncorrected formation energy: -0.782 eV/atom



A geometry-optimized TiSiNF2 structure. Source: Alexandria via LeMat-Bulk, functional PBE.

CIF file:
```
data_TiSiNF2
_space_group_name_H-M_alt 'P 4/m m m'
_space_group_IT_number 123
_space_group_name_Hall '-P 4 2'
_cell_length_a 3.9874
_cell_length_b 3.9874
_cell_length_c 4.0246
_cell_angle_alpha 90.00
_cell_angle_beta 90.00
_cell_angle_gamma 90.00
loop_
_atom_site_label
_atom_site_type_symbol
_atom_site_fract_x
_atom_site_fract_y
_atom_site_fract_z
_atom_site_occupancy
Ti1 Ti 0.0000 0.0000 0.0000 1
Si1 Si 0.5000 0.5000 0.5000 1
N1 N 0.0000 0.0000 0.5000 1
F1 F 0.0000 0.5000 0.0000 1
```

DOS(E_F): 2.40 states/eV/cell
energy above the most stable polymorph in this dataset: 0.000 eV/atom
magnetic moment: 0.77 μB/f.u.
uncorrected formation energy: -1.162 eV/atom



A geometry-optimized TlSiNF2 structure. Source: Alexandria via LeMat-Bulk, functional PBE.

CIF file:
```
data_TlSiNF2
_space_group_name_H-M_alt 'P 4/m m m'
_space_group_IT_number 123
_space_group_name_Hall '-P 4 2'
_cell_length_a 4.5199
_cell_length_b 4.5199
_cell_length_c 3.2715
_cell_angle_alpha 90.00
_cell_angle_beta 90.00
_cell_angle_gamma 90.00
loop_
_atom_site_label
_atom_site_type_symbol
_atom_site_fract_x
_atom_site_fract_y
_atom_site_fract_z
_atom_site_occupancy
Tl1 Tl 0.0000 0.0000 0.0000 1
Si1 Si 0.5000 0.5000 0.5000 1
N1 N 0.5000 0.5000 0.0000 1
F1 F 0.0000 0.5000 0.5000 1
```

energy above the most stable polymorph in this dataset: 0.000 eV/atom
magnetic moment: 0.00 μB/f.u.
uncorrected formation energy: -1.201 eV/atom



A geometry-optimized TlSiNF2 structure. Source: Alexandria via LeMat-Bulk, functional PBE.

CIF file:
```
data_TlSiNF2
_space_group_name_H-M_alt 'P 4/m m m'
_space_group_IT_number 123
_space_group_name_Hall '-P 4 2'
_cell_length_a 4.4564
_cell_length_b 4.4564
_cell_length_c 4.2571
_cell_angle_alpha 90.00
_cell_angle_beta 90.00
_cell_angle_gamma 90.00
loop_
_atom_site_label
_atom_site_type_symbol
_atom_site_fract_x
_atom_site_fract_y
_atom_site_fract_z
_atom_site_occupancy
Tl1 Tl 0.0000 0.0000 0.0000 1
Si1 Si 0.5000 0.5000 0.5000 1
N1 N 0.0000 0.0000 0.5000 1
F1 F 0.0000 0.5000 0.0000 1
```

DOS(E_F): 1.02 states/eV/cell
energy above the most stable polymorph in this dataset: 1.354 eV/atom
magnetic moment: 0.00 μB/f.u.
uncorrected formation energy: 0.153 eV/atom